[1]
Entry from the Alexandria database: an optimized crystal structure of Li2Mg2Rh4C (PBE-GGA).

Summary:
- Crystal system: tetragonal
- DOS at the Fermi energy: 4.3 states/eV/f.u.
- ΔE_f: -0.290 eV/atom
- Calculated total energy: -96.5 eV/cell
- Total moment: 0.00 μB per formula unit

Cell lengths 5.5569, 5.5569, 8.0004 Å; angles 90.00, 90.00, 90.00 degrees
Space group I4/mmm (No. 139)
Unique sites:
Li (0.0000, 0.0000, 0.2375)
Mg (0.0000, 0.5000, 0.2500)
Rh (0.2458, 0.2458, 0.0000)
C (0.0000, 0.0000, 0.5000)



[2]
Entry from the Alexandria database: an optimized crystal structure of LiMgRh2C (PBE-GGA).

Summary:
- Crystal system: tetragonal
- Relative energy among the computed polymorphs: 131 meV/atom
- DOS at the Fermi energy: 0.7 states/eV/f.u.
- ΔE_f: -0.157 eV/atom
- Calculated total energy: -28.2 eV/cell
- Total moment: 0.00 μB per formula unit

Cell lengths 4.0188, 4.0188, 4.2953 Å; angles 90.00, 90.00, 90.00 degrees
Space group P4/mmm (No. 123)
Unique sites:
Li (0.0000, 0.0000, 0.0000)
Mg (0.5000, 0.5000, 0.0000)
Rh (0.0000, 0.5000, 0.5000)
C (0.5000, 0.5000, 0.5000)



[3]
Entry from the Alexandria database: an optimized crystal structure of LiMgRu2C (PBE-GGA).

Summary:
- Crystal system: tetragonal
- Relative energy among the computed polymorphs: 135 meV/atom
- DOS at the Fermi energy: 3.9 states/eV/f.u.
- ΔE_f: 0.130 eV/atom
- Calculated total energy: -30.6 eV/cell
- Total moment: 0.00 μB per formula unit

Cell lengths 3.9997, 3.9997, 4.3392 Å; angles 90.00, 90.00, 90.00 degrees
Space group P4/mmm (No. 123)
Unique sites:
Li (0.0000, 0.0000, 0.0000)
Mg (0.5000, 0.5000, 0.0000)
Ru (0.0000, 0.5000, 0.5000)
C (0.5000, 0.5000, 0.5000)